This record from Alexandria describes a relaxed BeCdFe crystal. The functional is PBE.

Cell and atoms, written as POSCAR:
```
BeCdFe
1.0
9.066 0.000 0.000
0.000 3.287 0.000
-0.005 0.000 2.741
Be Cd Fe
2 2 2
Direct
0.000 0.000 0.000 Be
0.500 0.500 0.000 Be
0.282 0.000 0.001 Cd
0.782 0.500 0.001 Cd
0.068 0.500 0.501 Fe
0.568 0.000 0.501 Fe
```

**Crystal system**: monoclinic
**Formation enthalpy at 0 K**: 0.29 eV/atom
**DOS at the Fermi energy**: 4.1 states/eV per cell

---

This record from Alexandria describes a relaxed LaCeNd2Dy2 crystal. The functional is PBE.

Cell and atoms, written as POSCAR:
```
LaCeNd2Dy2
1.0
6.575 0.000 0.000
0.000 18.231 0.000
0.000 0.000 3.396
La Ce Nd Dy
2 2 4 4
Direct
0.000 0.000 0.000 La
0.500 0.500 0.500 La
0.000 0.500 0.000 Ce
0.500 0.000 0.500 Ce
0.206 0.187 0.000 Nd
0.294 0.687 0.500 Nd
0.706 0.313 0.500 Nd
0.794 0.813 0.000 Nd
0.201 0.355 0.500 Dy
0.299 0.855 0.000 Dy
0.701 0.145 0.000 Dy
0.799 0.645 0.500 Dy
```

**Crystal system**: orthorhombic
**Formation enthalpy at 0 K**: 0.28 eV/atom
**DOS at the Fermi energy**: 27.4 states/eV per cell

---

This record from Alexandria describes a relaxed MnH8Rh4 crystal. The functional is PBE.

Cell and atoms, written as POSCAR:
```
MnH8Rh4
1.0
2.816 1.626 4.372
-2.816 1.626 4.372
0.000 -3.252 4.372
Mn H Rh
1 8 4
Direct
0.000 0.000 0.000 Mn
0.234 0.234 0.234 H
0.244 0.729 0.729 H
0.271 0.271 0.756 H
0.271 0.756 0.271 H
0.729 0.244 0.729 H
0.729 0.729 0.244 H
0.756 0.271 0.271 H
0.766 0.766 0.766 H
0.000 0.000 0.500 Rh
0.000 0.500 0.000 Rh
0.500 0.000 0.000 Rh
0.500 0.500 0.500 Rh
```

**Crystal system**: trigonal
**E_tot**: -5.01 eV/atom
**DOS at the Fermi energy**: 3.8 states/eV per cell

---

This record from Alexandria describes a relaxed PrTm2Co crystal. The functional is PBE.

Cell and atoms, written as POSCAR:
```
PrTm2Co
1.0
5.707 0.000 0.000
0.000 3.707 0.000
-1.233 0.000 9.992
Pr Tm Co
2 4 2
Direct
0.238 0.250 0.450 Pr
0.762 0.750 0.550 Pr
0.161 0.750 0.120 Tm
0.309 0.750 0.777 Tm
0.691 0.250 0.223 Tm
0.839 0.250 0.880 Tm
0.369 0.250 0.977 Co
0.631 0.750 0.023 Co
```

**Crystal system**: monoclinic
**Formation enthalpy at 0 K**: -0.16 eV/atom
**DOS at the Fermi energy**: 7.8 states/eV per cell

---

This record from Alexandria describes a relaxed MnZn2Au crystal. The functional is PBE.

Cell and atoms, written as POSCAR:
```
MnZn2Au
1.0
2.842 0.000 0.000
0.000 2.842 0.000
0.000 0.000 7.381
Mn Zn Au
1 2 1
Direct
0.000 0.000 0.000 Mn
0.500 0.500 0.232 Zn
0.500 0.500 0.768 Zn
0.000 0.000 0.500 Au
```

**Crystal system**: tetragonal
**Formation enthalpy at 0 K**: -0.05 eV/atom
**DOS at the Fermi energy**: 1.9 states/eV per cell

---

This record from Alexandria describes a relaxed TeAsAu2O crystal. The functional is PBE.

Cell and atoms, written as POSCAR:
```
TeAsAu2O
1.0
5.157 0.000 0.000
0.000 5.157 0.000
0.000 0.000 3.751
Te As Au O
1 1 2 1
Direct
0.000 0.000 0.000 Te
0.500 0.500 0.500 As
0.000 0.500 0.500 Au
0.500 0.000 0.500 Au
0.500 0.500 0.000 O
```

**Energy relative to the elements, uncorrected**: 0.0346 eV per atom
**Crystal system**: tetragonal
**DOS at the Fermi energy**: 2.7 states/eV per cell

---

This record from Alexandria describes a relaxed Nd3BeB2Pt9 crystal. The functional is PBE.

Cell and atoms, written as POSCAR:
```
Nd3BeB2Pt9
1.0
5.804 0.000 0.000
-2.902 5.026 0.000
0.000 0.000 8.995
Nd Be B Pt
3 1 2 9
Direct
0.000 0.000 0.000 Nd
0.333 0.667 0.612 Nd
0.667 0.333 0.388 Nd
0.000 0.000 0.500 Be
0.333 0.667 0.157 B
0.667 0.333 0.843 B
0.000 0.500 0.000 Pt
0.163 0.325 0.299 Pt
0.163 0.837 0.299 Pt
0.325 0.163 0.701 Pt
0.500 0.000 0.000 Pt
0.500 0.500 0.000 Pt
0.675 0.837 0.299 Pt
0.837 0.163 0.701 Pt
0.837 0.675 0.701 Pt
```

**Crystal system**: trigonal
**Formation enthalpy at 0 K**: -0.82 eV/atom
**DOS at the Fermi energy**: 2.6 states/eV per cell